# HfNiNF2 (PBE with a Hubbard U, relaxed)
data_HfNiNF2
_cell_length_a 3.648
_cell_length_b 3.648
_cell_length_c 4.538
_cell_angle_alpha 90.00
_cell_angle_beta 90.00
_cell_angle_gamma 90.00
_symmetry_space_group_name_H-M 'P 4/m m m'
_symmetry_Int_Tables_number 123
_symmetry_space_group_name_Hall '-P 4 2'
loop_
_atom_site_label
_atom_site_type_symbol
_atom_site_fract_x
_atom_site_fract_y
_atom_site_fract_z
Hf1 Hf 0.000 0.000 0.000
Ni1 Ni 0.500 0.500 0.500
N1 N 0.500 0.500 0.000
F1 F 0.000 0.500 0.500
# Spin magnetization, μB/f.u.: 2.61
# Fermi-level density of states, states/eV per cell: 2.00
# Relative energy among the computed polymorphs, meV/atom: 636.3